Material: Co2TcHg
Method: DFT, PBE
State: relaxed

Unit cell a=4.840 b=4.840 c=4.840 alpha=134.85 beta=134.85 gamma=65.76
Site moments in Bohr magnetons follow the coordinates.
Fractional positions:
Co  0.250  0.750  0.500  1.23
Co  0.000  0.000  0.000  -0.90
Tc  0.750  0.250  0.500  0.41
Hg  0.500  0.500  0.000  0.00

Crystal system   tetragonal
Raw total energy   -5.662 eV per atom
Formation energy   2.232 eV/f.u.